(1)
Here is crystalline Dy2HoSb at its relaxed geometry from Alexandria via LeMat-Bulk. Energies are from PBE.

Cell lengths 4.7704, 4.7704, 4.7704 Å; angles 90.00, 90.00, 90.00 degrees
Sites, in units of the cell vectors:
Sb  0.5000  0.0000  0.0000
Ho  0.5000  0.5000  0.5000
Dy  0.0000  0.0000  0.5000
Dy  0.0000  0.5000  0.0000

Values from the calculation:
E above lowest polymorph   0.0731 eV per atom

(2)
Here is crystalline Dy5Ho5Sb6 at its relaxed geometry from Alexandria via LeMat-Bulk. Energies are from PBE.

Cell lengths 6.2902, 8.9531, 8.9531 Å; angles 119.94, 90.00, 90.00 degrees
Sites, in units of the cell vectors:
Dy  0.0000  0.7534  0.9999
Dy  0.0000  0.9999  0.7534
Dy  0.5000  0.7527  0.7527
Dy  0.5000  0.2464  0.0001
Dy  0.5000  0.0001  0.2464
Ho  0.7500  0.3333  0.6669
Ho  0.7500  0.6669  0.3333
Ho  0.2500  0.6669  0.3333
Ho  0.2500  0.3333  0.6669
Ho  0.0000  0.2471  0.2471
Sb  0.0000  0.6100  0.6100
Sb  0.0000  0.3894  0.0005
Sb  0.0000  0.0005  0.3894
Sb  0.5000  0.3896  0.3896
Sb  0.5000  0.6104  0.0000
Sb  0.5000  0.0000  0.6104

Values from the calculation:
Calculated total energy   -5.33 eV/atom

(3)
Here is crystalline DyHo3Sb at its relaxed geometry from Alexandria via LeMat-Bulk. Energies are from PBE.

Cell lengths 3.9429, 10.5917, 14.4502 Å; angles 90.00, 90.00, 90.00 degrees
Sites, in units of the cell vectors:
Dy  0.7500  0.8346  0.9696
Dy  0.2500  0.6654  0.4696
Dy  0.7500  0.3346  0.5304
Dy  0.2500  0.1654  0.0304
Ho  0.2500  0.5855  0.0748
Ho  0.7500  0.4145  0.9252
Ho  0.2500  0.0855  0.4252
Ho  0.7500  0.9145  0.5748
Ho  0.2500  0.3859  0.7336
Ho  0.7500  0.1141  0.2336
Ho  0.2500  0.8859  0.7664
Ho  0.7500  0.6331  0.6819
Ho  0.2500  0.3669  0.3181
Ho  0.7500  0.1331  0.8181
Ho  0.7500  0.6141  0.2664
Ho  0.2500  0.8669  0.1819
Sb  0.2500  0.1302  0.6384
Sb  0.2500  0.6302  0.8616
Sb  0.7500  0.3698  0.1384
Sb  0.7500  0.8698  0.3616

Values from the calculation:
Calculated total energy   -4.85 eV/atom

(4)
Here is crystalline Dy2HoSb at its relaxed geometry from Alexandria via LeMat-Bulk. Energies are from PBE.

Cell lengths 4.0796, 4.0796, 6.8457 Å; angles 90.00, 90.00, 90.00 degrees
Sites, in units of the cell vectors:
Sb  0.5000  0.5000  0.0000
Ho  0.5000  0.5000  0.5000
Dy  0.0000  0.0000  0.7682
Dy  0.0000  0.0000  0.2318

Values from the calculation:
E above lowest polymorph   0.0710 eV per atom

(5)
Here is crystalline DyHo3Sb4 at its relaxed geometry from Alexandria via LeMat-Bulk. Energies are from PBE.

Cell lengths 6.1768, 6.1768, 6.1768 Å; angles 90.00, 90.00, 90.00 degrees
Sites, in units of the cell vectors:
Dy  0.0000  0.0000  0.0000
Ho  0.0000  0.5000  0.5000
Ho  0.5000  0.0000  0.5000
Ho  0.5000  0.5000  0.0000
Sb  0.5000  0.0000  0.0000
Sb  0.0000  0.5000  0.0000
Sb  0.0000  0.0000  0.5000
Sb  0.5000  0.5000  0.5000

Values from the calculation:
Calculated total energy   -5.48 eV/atom

(6)
Here is crystalline Dy2Ho2Sb3 at its relaxed geometry from Alexandria via LeMat-Bulk. Energies are from PBE.

Cell lengths 7.9420, 7.9420, 7.9420 Å; angles 109.47, 109.47, 109.47 degrees
Sites, in units of the cell vectors:
Dy  0.5000  0.3542  0.5000
Dy  0.0000  0.0000  0.3542
Dy  0.6458  0.1458  0.1458
Dy  0.8542  0.5000  0.0000
Ho  0.0000  0.0000  0.8554
Ho  0.5000  0.8554  0.5000
Ho  0.1446  0.6446  0.6446
Ho  0.3554  0.5000  0.0000
Sb  0.7500  0.6257  0.3757
Sb  0.2500  0.8743  0.1243
Sb  0.6243  0.7500  0.8743
Sb  0.8757  0.2500  0.6257
Sb  0.3743  0.1243  0.7500
Sb  0.1257  0.3757  0.2500

Values from the calculation:
E above lowest polymorph   0.0000 eV per atom

(7)
Here is crystalline DyHoSb2 at its relaxed geometry from Alexandria via LeMat-Bulk. Energies are from PBE.

Cell lengths 4.3621, 4.3621, 14.4275 Å; angles 90.00, 90.00, 120.00 degrees
Sites, in units of the cell vectors:
Dy  0.6667  0.3333  0.2500
Dy  0.3333  0.6667  0.7500
Ho  0.0000  0.0000  0.5000
Ho  0.0000  0.0000  0.0000
Sb  0.3333  0.6667  0.3779
Sb  0.6667  0.3333  0.8779
Sb  0.6667  0.3333  0.6221
Sb  0.3333  0.6667  0.1221

Values from the calculation:
E above lowest polymorph   0.0728 eV per atom

(8)
Here is crystalline Dy3Ho2Sb2 at its relaxed geometry from Alexandria via LeMat-Bulk. Energies are from PBE.

Cell lengths 4.2310, 6.4172, 8.4359 Å; angles 107.55, 90.00, 109.25 degrees
Sites, in units of the cell vectors:
Dy  0.5000  0.0000  0.0000
Dy  0.6255  0.2510  0.4454
Dy  0.3745  0.7490  0.5546
Ho  0.8685  0.7369  0.2166
Ho  0.1315  0.2631  0.7834
Sb  0.8245  0.6490  0.8081
Sb  0.1755  0.3510  0.1919

Values from the calculation:
Calculated total energy   -5.08 eV/atom

(9)
Here is crystalline DyHoSb2 at its relaxed geometry from Alexandria via LeMat-Bulk. Energies are from PBE.

Cell lengths 4.3773, 4.3773, 7.5728 Å; angles 73.20, 73.20, 60.00 degrees
Sites, in units of the cell vectors:
Sb  0.7504  0.7504  0.7488
Sb  0.2496  0.2496  0.2512
Ho  0.5000  0.5000  0.5000
Dy  0.0000  0.0000  0.0000

Values from the calculation:
E above lowest polymorph   0.0000 eV per atom

(10)
Here is crystalline DyHoSb at its relaxed geometry from Alexandria via LeMat-Bulk. Energies are from PBE.

Cell lengths 10.2220, 10.2220, 4.6313 Å; angles 90.00, 90.00, 157.34 degrees
Sites, in units of the cell vectors:
Ho  0.2911  0.7089  0.7500
Ho  0.7089  0.2911  0.2500
Dy  0.0789  0.9211  0.7500
Dy  0.9211  0.0789  0.2500
Sb  0.5606  0.4394  0.2500
Sb  0.4394  0.5606  0.7500

Values from the calculation:
Calculated total energy   -4.88 eV/atom

(11)
Here is crystalline DyHoSb2 at its relaxed geometry from Alexandria via LeMat-Bulk. Energies are from PBE.

Cell lengths 4.3428, 4.3428, 7.8213 Å; angles 73.88, 73.88, 60.00 degrees
Sites, in units of the cell vectors:
Dy  0.4981  0.4981  0.5056
Ho  0.6687  0.6687  0.9938
Sb  0.0815  0.0815  0.7555
Sb  0.2516  0.2516  0.2451

Values from the calculation:
E above lowest polymorph   0.1110 eV per atom

(12)
Here is crystalline Dy2HoSb at its relaxed geometry from Alexandria via LeMat-Bulk. Energies are from PBE.

Cell lengths 3.9878, 3.9878, 9.7087 Å; angles 78.15, 78.15, 60.00 degrees
Last column: magnetic moment on the atom in μB.
Sites, in units of the cell vectors:
Dy  0.0684  0.0684  0.7948  0.19
Dy  0.2650  0.2650  0.2051  0.03
Ho  0.5004  0.5004  0.4989  0.27
Sb  0.6662  0.6662  0.0013  0.00

Values from the calculation:
E above lowest polymorph   0.2269 eV per atom

(13)
Here is crystalline Dy5HoSb4 at its relaxed geometry from Alexandria via LeMat-Bulk. Energies are from PBE.

Cell lengths 4.2954, 8.3969, 9.5470 Å; angles 105.28, 103.00, 90.00 degrees
Sites, in units of the cell vectors:
Dy  0.8221  0.6494  0.6442
Dy  0.8368  0.1779  0.6736
Dy  0.1632  0.8221  0.3264
Dy  0.5000  0.5000  0.0000
Dy  0.1779  0.3506  0.3558
Ho  0.5000  0.0000  0.0000
Sb  0.3309  0.9135  0.6618
Sb  0.9921  0.7431  0.9842
Sb  0.6691  0.0865  0.3382
Sb  0.0079  0.2569  0.0158

Values from the calculation:
Calculated total energy   -5.13 eV/atom

(14)
Here is crystalline DyHo4Sb2 at its relaxed geometry from Alexandria via LeMat-Bulk. Energies are from PBE.

Cell lengths 5.2354, 5.2354, 8.9916 Å; angles 106.93, 106.93, 90.00 degrees
Sites, in units of the cell vectors:
Dy  0.0000  0.0000  0.0000
Ho  0.8164  0.8164  0.6328
Ho  0.1836  0.1836  0.3672
Ho  0.0000  0.5000  0.0000
Ho  0.5000  0.0000  0.0000
Sb  0.6333  0.6333  0.2665
Sb  0.3667  0.3667  0.7335

Values from the calculation:
Calculated total energy   -4.18 eV/atom

(15)
Here is crystalline Dy2HoSc3Sb6 at its relaxed geometry from Alexandria via LeMat-Bulk. Energies are from PBE.

Cell lengths 7.4082, 7.4082, 7.3888 Å; angles 99.61, 99.61, 120.02 degrees
Sites, in units of the cell vectors:
Dy  0.3335  0.6665  0.0000
Dy  0.6665  0.3335  0.0000
Ho  0.0000  0.0000  0.0000
Sc  0.1671  0.8329  0.5000
Sc  0.8329  0.1671  0.5000
Sc  0.5000  0.5000  0.5000
Sb  0.9119  0.5793  0.7356
Sb  0.7558  0.7558  0.2650
Sb  0.0881  0.4207  0.2644
Sb  0.5793  0.9119  0.7356
Sb  0.2442  0.2442  0.7350
Sb  0.4207  0.0881  0.2644

Values from the calculation:
Calculated total energy   -5.82 eV/atom

(16)
Here is crystalline Sm2Dy3HoSb6 at its relaxed geometry from Alexandria via LeMat-Bulk. Energies are from PBE.

Cell lengths 4.4112, 8.8202, 9.8606 Å; angles 102.88, 102.93, 90.00 degrees
Sites, in units of the cell vectors:
Sm  0.8339  0.6674  0.6677
Sm  0.1661  0.3326  0.3323
Dy  0.5000  0.5000  0.0000
Dy  0.8325  0.1664  0.6651
Dy  0.1675  0.8336  0.3349
Ho  0.5000  0.0000  0.0000
Sb  0.3340  0.9212  0.6680
Sb  0.6655  0.5863  0.3310
Sb  0.6660  0.0788  0.3320
Sb  0.9983  0.2482  0.9965
Sb  0.0017  0.7518  0.0035
Sb  0.3345  0.4137  0.6690

Values from the calculation:
Calculated total energy   -5.52 eV/atom

(17)
Here is crystalline Sm2DyHoSb4 at its relaxed geometry from Alexandria via LeMat-Bulk. Energies are from PBE.

Cell lengths 4.4267, 7.6634, 7.6596 Å; angles 109.48, 90.00, 90.00 degrees
Sites, in units of the cell vectors:
Sm  0.5000  0.0000  0.5000
Sm  0.0000  0.5000  0.5000
Dy  0.0000  0.0000  0.0000
Ho  0.5000  0.5000  0.0000
Sb  0.5000  0.2485  0.2439
Sb  0.5000  0.7515  0.7561
Sb  0.0000  0.2526  0.7564
Sb  0.0000  0.7474  0.2436

Values from the calculation:
Calculated total energy   -5.54 eV/atom

(18)
Here is crystalline SmDy2HoSb4 at its relaxed geometry from Alexandria via LeMat-Bulk. Energies are from PBE.

Cell lengths 4.4048, 7.6250, 7.6243 Å; angles 70.53, 90.00, 90.00 degrees
Sites, in units of the cell vectors:
Sm  0.5000  0.5000  0.0000
Dy  0.0000  0.0000  0.0000
Dy  0.5000  0.0000  0.5000
Ho  0.0000  0.5000  0.5000
Sb  0.0000  0.7533  0.7458
Sb  0.0000  0.2467  0.2542
Sb  0.5000  0.7512  0.2526
Sb  0.5000  0.2488  0.7474

Values from the calculation:
Calculated total energy   -5.51 eV/atom

(19)
Here is crystalline TbDy2HoSb4 at its relaxed geometry from Alexandria via LeMat-Bulk. Energies are from PBE.

Cell lengths 4.3860, 7.5916, 7.5931 Å; angles 109.47, 90.00, 90.00 degrees
Sites, in units of the cell vectors:
Tb  0.5000  0.5000  0.0000
Dy  0.5000  0.0000  0.5000
Dy  0.0000  0.5000  0.5000
Ho  0.0000  0.0000  0.0000
Sb  0.5000  0.2488  0.2496
Sb  0.5000  0.7512  0.7504
Sb  0.0000  0.2488  0.7495
Sb  0.0000  0.7512  0.2505

Values from the calculation:
Calculated total energy   -5.49 eV/atom

(20)
Here is crystalline Tb3Dy2HoSb6 at its relaxed geometry from Alexandria via LeMat-Bulk. Energies are from PBE.

Cell lengths 4.3888, 8.7773, 9.8125 Å; angles 102.86, 102.92, 90.00 degrees
Sites, in units of the cell vectors:
Tb  0.5000  0.5000  0.0000
Tb  0.8332  0.1668  0.6664
Tb  0.1668  0.8332  0.3336
Dy  0.8334  0.6670  0.6668
Dy  0.1666  0.3330  0.3332
Ho  0.5000  0.0000  0.0000
Sb  0.3339  0.9164  0.6678
Sb  0.6670  0.5825  0.3339
Sb  0.6661  0.0836  0.3322
Sb  0.0002  0.2485  0.0004
Sb  0.9998  0.7515  0.9996
Sb  0.3330  0.4175  0.6661

Values from the calculation:
Calculated total energy   -5.50 eV/atom

(21)
Here is crystalline TbDy3Ho2Sb6 at its relaxed geometry from Alexandria via LeMat-Bulk. Energies are from PBE.

Cell lengths 4.3800, 8.7606, 9.7927 Å; angles 102.87, 102.92, 90.00 degrees
Sites, in units of the cell vectors:
Tb  0.5000  0.0000  0.0000
Dy  0.5000  0.5000  0.0000
Dy  0.8336  0.1670  0.6673
Dy  0.1664  0.8330  0.3327
Ho  0.8332  0.6667  0.6663
Ho  0.1668  0.3333  0.3337
Sb  0.3329  0.9157  0.6658
Sb  0.6669  0.5825  0.3338
Sb  0.6671  0.0843  0.3342
Sb  0.0004  0.2510  0.0008
Sb  0.9996  0.7490  0.9992
Sb  0.3331  0.4175  0.6662

Values from the calculation:
Calculated total energy   -5.49 eV/atom

(22)
Here is crystalline Tb3DyHo2Sb6 at its relaxed geometry from Alexandria via LeMat-Bulk. Energies are from PBE.

Cell lengths 4.3862, 8.7720, 9.8060 Å; angles 102.86, 102.92, 90.00 degrees
Sites, in units of the cell vectors:
Tb  0.5000  0.5000  0.0000
Tb  0.8334  0.1669  0.6669
Tb  0.1666  0.8331  0.3331
Dy  0.5000  0.0000  0.0000
Ho  0.8333  0.6667  0.6667
Ho  0.1667  0.3333  0.3333
Sb  0.3336  0.9153  0.6671
Sb  0.6672  0.5820  0.3344
Sb  0.6664  0.0847  0.3329
Sb  0.0005  0.2495  0.0011
Sb  0.9995  0.7505  0.9989
Sb  0.3328  0.4180  0.6656

Values from the calculation:
Calculated total energy   -5.50 eV/atom

(23)
Here is crystalline TbDyHo2Sb4 at its relaxed geometry from Alexandria via LeMat-Bulk. Energies are from PBE.

Cell lengths 4.3819, 7.5848, 7.5857 Å; angles 70.53, 90.00, 90.00 degrees
Sites, in units of the cell vectors:
Tb  0.5000  0.5000  0.0000
Dy  0.0000  0.5000  0.5000
Ho  0.0000  0.0000  0.0000
Ho  0.5000  0.0000  0.5000
Sb  0.0000  0.7519  0.7488
Sb  0.0000  0.2481  0.2512
Sb  0.5000  0.7515  0.2500
Sb  0.5000  0.2485  0.7500

Values from the calculation:
Calculated total energy   -5.49 eV/atom